Run i
Density functional theory data (PBE-GGA) for a geometry-optimized Ho2Tm4Sc structure.

a = 8.9576 Å, b = 8.2315 Å, c = 8.2342 Å
α = 136.34°, β = 95.72°, γ = 84.29°
Positions (direct):
Ho (0.6983, 0.3178, 0.5843)
Ho (0.5536, 0.7443, 0.1549)
Ho (0.6282, 0.3635, 0.2044)
Ho (0.1932, 0.6502, 0.9120)
Tm (0.0539, 0.0792, 0.4907)
Tm (0.2643, 0.6001, 0.2987)
Tm (0.8427, 0.8885, 0.0113)
Tm (0.7732, 0.9303, 0.6307)
Tm (0.3338, 0.2203, 0.3413)
Tm (0.4089, 0.1725, 0.7281)
Tm (0.4785, 0.7945, 0.7742)
Tm (0.9140, 0.5017, 0.0618)
Sc (0.9846, 0.4583, 0.4391)
Sc (0.1228, 0.0288, 0.8687)

Run ii
Density functional theory data (PBE-GGA) for a geometry-optimized Ho2Tm4Sc structure.

a = 5.4256 Å, b = 12.0268 Å, c = 12.9795 Å
α = 90.00°, β = 90.00°, γ = 90.00°
Positions (direct):
Ho (0.9991, 0.9285, 0.8444)
Ho (0.4991, 0.5715, 0.1556)
Ho (0.0009, 0.4285, 0.6556)
Ho (0.5009, 0.0715, 0.3444)
Ho (0.0009, 0.0715, 0.1556)
Ho (0.5009, 0.4285, 0.8444)
Ho (0.9991, 0.5715, 0.3444)
Ho (0.4991, 0.9285, 0.6556)
Tm (0.9982, 0.7449, 0.5748)
Tm (0.4982, 0.7551, 0.4252)
Tm (0.0018, 0.2449, 0.9252)
Tm (0.5018, 0.2551, 0.0748)
Tm (0.0018, 0.2551, 0.4252)
Tm (0.5018, 0.2449, 0.5748)
Tm (0.9982, 0.7551, 0.0748)
Tm (0.4982, 0.7449, 0.9252)
Tm (0.0020, 0.1450, 0.6804)
Tm (0.5020, 0.3550, 0.3196)
Tm (0.9980, 0.6450, 0.8196)
Tm (0.4980, 0.8550, 0.1804)
Tm (0.9980, 0.8550, 0.3196)
Tm (0.4980, 0.6450, 0.6804)
Tm (0.0020, 0.3550, 0.1804)
Tm (0.5020, 0.1450, 0.8196)
Sc (0.0000, 0.0000, 0.5000)
Sc (0.5000, 0.5000, 0.5000)
Sc (0.0000, 0.5000, 0.0000)
Sc (0.5000, 0.0000, 0.0000)

The structure with the least stability is run ii.

Run i
Density functional theory data (PBE-GGA) for a geometry-optimized Ho5TmSc structure.

a = 10.1558 Å, b = 6.5169 Å, c = 6.8397 Å
α = 118.45°, β = 137.94°, γ = 90.00°
Positions (direct):
Ho (0.4553, 0.2292, 0.4585)
Ho (0.1839, 0.5000, 0.0000)
Ho (0.9969, 0.7708, 0.5415)
Ho (0.9243, 0.7738, 0.0000)
Ho (0.9243, 0.2262, 0.0000)
Tm (0.5691, 0.0000, 0.0000)
Sc (0.4769, 0.5000, 0.0000)

Run ii
Density functional theory data (PBE-GGA) for a geometry-optimized Ho5TmSc structure.

a = 6.7909 Å, b = 9.7791 Å, c = 8.3122 Å
α = 42.90°, β = 45.62°, γ = 37.42°
Positions (direct):
Ho (0.6664, 0.0967, 0.4721)
Ho (0.8037, 0.5281, 0.9031)
Ho (0.5000, 0.0000, 0.0000)
Ho (0.1963, 0.4719, 0.0969)
Ho (0.3336, 0.9033, 0.5279)
Tm (0.0000, 0.0000, 0.0000)
Sc (0.5000, 0.5000, 0.5000)

The structure with the least stability is run i.

Run i
Density functional theory data (PBE-GGA) for a geometry-optimized Ho6Tm8Sc structure.

a = 8.8958 Å, b = 8.8958 Å, c = 8.4766 Å
α = 58.35°, β = 58.35°, γ = 60.00°
Positions (direct):
Ho (0.4551, 0.8804, 0.8763)
Ho (0.1196, 0.2119, 0.1237)
Ho (0.2119, 0.5449, 0.1237)
Ho (0.7881, 0.4551, 0.8763)
Ho (0.8804, 0.7881, 0.8763)
Ho (0.5449, 0.1196, 0.1237)
Tm (0.7231, 0.1087, 0.4260)
Tm (0.8913, 0.2579, 0.5740)
Tm (0.2579, 0.2769, 0.5740)
Tm (0.5762, 0.5762, 0.2713)
Tm (0.4238, 0.4238, 0.7287)
Tm (0.7421, 0.7231, 0.4260)
Tm (0.1087, 0.7421, 0.4260)
Tm (0.2769, 0.8913, 0.5740)
Sc (0.0000, 0.0000, 0.0000)

Run ii
Density functional theory data (PBE-GGA) for a geometry-optimized Ho6Tm8Sc structure.

a = 5.6682 Å, b = 9.6614 Å, c = 9.6614 Å
α = 120.00°, β = 90.00°, γ = 90.00°
Positions (direct):
Ho (0.7386, 0.6229, 0.0919)
Ho (0.7386, 0.9081, 0.5310)
Ho (0.7386, 0.4690, 0.3771)
Ho (0.2614, 0.3771, 0.9081)
Ho (0.2614, 0.0919, 0.4690)
Ho (0.2614, 0.5310, 0.6229)
Tm (0.7696, 0.0512, 0.2703)
Tm (0.7696, 0.7297, 0.7809)
Tm (0.7696, 0.2191, 0.9488)
Tm (0.2304, 0.9488, 0.7297)
Tm (0.2304, 0.2703, 0.2191)
Tm (0.2304, 0.7809, 0.0512)
Tm (0.7675, 0.3333, 0.6667)
Tm (0.2325, 0.6667, 0.3333)
Sc (0.5000, 0.0000, 0.0000)

The structure with the least stability is run ii.

Run i
Density functional theory data (PBE-GGA) for a geometry-optimized Ho6TmSc structure.

a = 6.6787 Å, b = 6.4237 Å, c = 6.7549 Å
α = 77.80°, β = 61.43°, γ = 92.07°
Positions (direct):
Ho (0.0948, 0.7726, 0.4698)
Ho (0.5793, 0.7383, 0.5127)
Ho (0.4207, 0.2617, 0.4873)
Ho (0.9052, 0.2274, 0.5302)
Ho (0.5607, 0.7513, 0.9974)
Ho (0.4393, 0.2487, 0.0026)
Tm (0.0000, 0.5000, 0.0000)
Sc (0.0000, 0.0000, 0.0000)

Run ii
Density functional theory data (PBE-GGA) for a geometry-optimized Ho6TmSc structure.

a = 6.0348 Å, b = 6.0362 Å, c = 11.0271 Å
α = 56.74°, β = 79.49°, γ = 48.25°
Positions (direct):
Ho (0.8767, 0.6215, 0.6275)
Ho (0.6265, 0.8722, 0.8772)
Ho (0.7468, 0.2520, 0.2473)
Ho (0.3735, 0.1278, 0.1228)
Ho (0.1233, 0.3785, 0.3725)
Ho (0.2532, 0.7480, 0.7527)
Tm (0.5000, 0.5000, 0.5000)
Sc (0.0000, 0.0000, 0.0000)

The structure with the least stability is run i.

Run i
Density functional theory data (PBE-GGA) for a geometry-optimized Ho8Tm2Sc3 structure.

a = 5.4713 Å, b = 7.4934 Å, c = 10.3784 Å
α = 111.16°, β = 90.00°, γ = 90.00°
Positions (direct):
Ho (0.0001, 0.6658, 0.3315)
Ho (0.9999, 0.3342, 0.6685)
Ho (0.0000, 0.1269, 0.2539)
Ho (0.0000, 0.8731, 0.7461)
Ho (0.5000, 0.6074, 0.7951)
Ho (0.5000, 0.1876, 0.7951)
Ho (0.5000, 0.8124, 0.2049)
Ho (0.5000, 0.3926, 0.2049)
Tm (0.4999, 0.2397, 0.4794)
Tm (0.5001, 0.7603, 0.5206)
Sc (0.5000, 0.0000, 0.0000)
Sc (0.0000, 0.2919, 0.0000)
Sc (0.0000, 0.7081, 0.0000)

Run ii
Density functional theory data (PBE-GGA) for a geometry-optimized Ho8Tm2Sc3 structure.

a = 5.9245 Å, b = 8.5632 Å, c = 8.5632 Å
α = 80.66°, β = 71.45°, γ = 71.45°
Positions (direct):
Ho (0.2286, 0.5907, 0.5907)
Ho (0.7714, 0.4093, 0.4093)
Ho (0.8830, 0.1356, 0.1356)
Ho (0.1170, 0.8644, 0.8644)
Ho (0.6493, 0.6114, 0.0748)
Ho (0.6493, 0.0748, 0.6114)
Ho (0.3507, 0.9252, 0.3886)
Ho (0.3507, 0.3886, 0.9252)
Tm (0.3389, 0.3211, 0.3211)
Tm (0.6611, 0.6789, 0.6789)
Sc (0.5000, 0.0000, 0.0000)
Sc (0.0000, 0.2698, 0.7302)
Sc (0.0000, 0.7302, 0.2698)

The structure with the least stability is run i.

Run i
Density functional theory data (PBE-GGA) for a geometry-optimized Ho2Tm2Sc7 structure.

a = 9.0811 Å, b = 6.3536 Å, c = 6.3536 Å
α = 121.55°, β = 98.83°, γ = 98.83°
Positions (direct):
Ho (0.7935, 0.3343, 0.3343)
Ho (0.2065, 0.6657, 0.6657)
Tm (0.5000, 0.2117, 0.7883)
Tm (0.5000, 0.7883, 0.2117)
Sc (0.1583, 0.0548, 0.4744)
Sc (0.8417, 0.5256, 0.9452)
Sc (0.8417, 0.9452, 0.5256)
Sc (0.1583, 0.4744, 0.0548)
Sc (0.0000, 0.0000, 0.0000)
Sc (0.6145, 0.7469, 0.7469)
Sc (0.3855, 0.2531, 0.2531)

Run ii
Density functional theory data (PBE-GGA) for a geometry-optimized Ho2Tm2Sc7 structure.

a = 11.5153 Å, b = 8.8936 Å, c = 11.5153 Å
α = 33.12°, β = 122.94°, γ = 146.88°
Positions (direct):
Ho (0.1124, 0.5855, 0.8876)
Ho (0.8876, 0.4145, 0.1124)
Tm (0.7027, 0.5000, 0.7027)
Tm (0.2973, 0.5000, 0.2973)
Sc (0.5371, 0.3998, 0.9750)
Sc (0.9750, 0.6002, 0.5371)
Sc (0.4629, 0.6002, 0.0250)
Sc (0.0250, 0.3998, 0.4629)
Sc (0.5518, 0.3155, 0.4482)
Sc (0.0000, 0.0000, 0.0000)
Sc (0.4482, 0.6845, 0.5518)

The structure with the least stability is run i.

Run i
Density functional theory data (PBE-GGA) for a geometry-optimized Ho4TmSc6 structure.

a = 5.3425 Å, b = 5.3396 Å, c = 24.3225 Å
α = 90.00°, β = 90.00°, γ = 120.02°
Positions (direct):
Ho (0.8335, 0.6670, 0.5417)
Ho (0.4994, 0.9988, 0.1232)
Ho (0.1665, 0.3330, 0.4583)
Ho (0.5006, 0.0012, 0.8768)
Ho (0.8335, 0.6670, 0.9583)
Ho (0.1665, 0.3330, 0.0417)
Ho (0.5006, 0.0012, 0.6232)
Ho (0.4994, 0.9988, 0.3767)
Tm (0.8324, 0.6648, 0.2500)
Tm (0.1676, 0.3352, 0.7500)
Sc (0.5000, 0.0000, 0.0000)
Sc (0.5000, 0.0000, 0.5000)
Sc (0.1658, 0.3316, 0.3163)
Sc (0.8342, 0.6684, 0.6837)
Sc (0.8342, 0.6684, 0.8163)
Sc (0.1658, 0.3316, 0.1837)
Sc (0.8328, 0.6656, 0.3961)
Sc (0.1672, 0.3344, 0.6039)
Sc (0.1672, 0.3344, 0.8961)
Sc (0.8328, 0.6656, 0.1039)
Sc (0.4989, 0.9978, 0.2500)
Sc (0.5011, 0.0022, 0.7500)

Run ii
Density functional theory data (PBE-GGA) for a geometry-optimized Ho4TmSc6 structure.

a = 9.0673 Å, b = 9.0673 Å, c = 9.0673 Å
α = 58.83°, β = 139.36°, γ = 139.36°
Positions (direct):
Ho (0.0000, 0.0115, 0.6300)
Ho (0.3815, 0.3700, 0.3700)
Ho (0.0000, 0.6300, 0.0115)
Ho (0.6185, 0.9885, 0.9885)
Tm (0.0000, 0.0000, 0.0000)
Sc (0.0000, 0.7885, 0.4436)
Sc (0.0000, 0.4436, 0.7885)
Sc (0.6551, 0.2115, 0.2115)
Sc (0.5000, 0.0000, 0.5000)
Sc (0.3449, 0.5564, 0.5564)
Sc (0.5000, 0.5000, 0.0000)

The structure with the least stability is run ii.

Run i
Density functional theory data (PBE-GGA) for a geometry-optimized Ho4Tm3Sc4 structure.

a = 3.4306 Å, b = 4.8127 Å, c = 19.0459 Å
α = 97.26°, β = 95.15°, γ = 89.99°
Positions (direct):
Ho (0.5468, 0.5469, 0.0938)
Ho (0.4532, 0.4531, 0.9061)
Ho (0.8161, 0.8164, 0.6320)
Ho (0.1838, 0.1837, 0.3680)
Tm (0.6371, 0.6368, 0.2742)
Tm (0.3629, 0.3632, 0.7258)
Tm (0.0000, 0.0000, 0.0000)
Sc (0.0922, 0.0921, 0.1846)
Sc (0.2715, 0.2716, 0.5428)
Sc (0.7285, 0.7284, 0.4572)
Sc (0.9078, 0.9079, 0.8154)

Run ii
Density functional theory data (PBE-GGA) for a geometry-optimized Ho4Tm3Sc4 structure.

a = 3.3922 Å, b = 5.3903 Å, c = 17.3314 Å
α = 81.03°, β = 84.37°, γ = 89.99°
Positions (direct):
Ho (0.5908, 0.0905, 0.8192)
Ho (0.2679, 0.2677, 0.4647)
Ho (0.7322, 0.7324, 0.5352)
Ho (0.4092, 0.9095, 0.1808)
Tm (0.1370, 0.6364, 0.7275)
Tm (0.8630, 0.3636, 0.2726)
Tm (0.0000, 0.0000, 0.0000)
Sc (0.5453, 0.5446, 0.9110)
Sc (0.4547, 0.4554, 0.0889)
Sc (0.3183, 0.8195, 0.3612)
Sc (0.6818, 0.1805, 0.6388)

The structure with the least stability is run ii.

Run i
Density functional theory data (PBE-GGA) for a geometry-optimized Ho7Tm4Sc structure.

a = 5.7239 Å, b = 11.5012 Å, c = 6.5638 Å
α = 83.51°, β = 64.15°, γ = 75.59°
Last column: magnetic moment on the atom in μB.
Positions (direct):
Ho (0.7924, 0.9260, 0.4891)  0.04
Ho (0.2076, 0.0740, 0.5109)  0.04
Ho (0.0697, 0.6948, 0.1659)  0.01
Ho (0.9303, 0.3052, 0.8341)  0.01
Ho (0.3660, 0.4957, 0.7723)  0.00
Ho (0.5000, 0.0000, 0.0000)  0.20
Ho (0.6340, 0.5043, 0.2277)  0.00
Tm (0.6393, 0.2256, 0.4958)  0.00
Tm (0.3607, 0.7744, 0.5042)  0.00
Tm (0.7719, 0.6752, 0.7810)  0.01
Tm (0.2281, 0.3248, 0.2190)  0.01
Sc (0.0000, 0.0000, 0.0000)  0.26

Run ii
Density functional theory data (PBE-GGA) for a geometry-optimized Ho7Tm4Sc structure.

a = 9.3944 Å, b = 9.3944 Å, c = 9.1450 Å
α = 54.58°, β = 54.58°, γ = 35.50°
Last column: magnetic moment on the atom in μB.
Positions (direct):
Ho (0.1709, 0.1709, 0.0339)  0.03
Ho (0.8291, 0.8291, 0.9661)  0.03
Ho (0.9287, 0.9287, 0.4323)  0.02
Ho (0.0713, 0.0713, 0.5677)  0.02
Ho (0.7135, 0.7135, 0.4516)  0.00
Ho (0.5000, 0.5000, 0.0000)  0.28
Ho (0.2865, 0.2865, 0.5484)  0.00
Tm (0.4172, 0.4172, 0.7216)  0.01
Tm (0.5828, 0.5828, 0.2784)  0.01
Tm (0.2852, 0.2852, 0.1925)  0.02
Tm (0.7148, 0.7148, 0.8075)  0.02
Sc (0.0000, 0.0000, 0.0000)  0.34

The structure with the least stability is run i.

Run i
Density functional theory data (PBE-GGA) for a geometry-optimized HoTm3Sc6 structure.

a = 5.8126 Å, b = 10.3456 Å, c = 10.3456 Å
α = 119.48°, β = 90.00°, γ = 90.00°
Positions (direct):
Ho (0.1568, 0.2097, 0.7903)
Ho (0.6568, 0.7903, 0.2097)
Tm (0.4664, 0.9313, 0.7204)
Tm (0.9664, 0.7204, 0.9313)
Tm (0.0622, 0.3942, 0.6058)
Tm (0.5622, 0.6058, 0.3942)
Tm (0.9664, 0.0687, 0.2796)
Tm (0.4664, 0.2796, 0.0687)
Sc (0.0212, 0.7165, 0.6140)
Sc (0.5212, 0.6140, 0.7165)
Sc (0.3619, 0.5395, 0.9664)
Sc (0.8619, 0.9664, 0.5395)
Sc (0.4278, 0.9524, 0.0476)
Sc (0.6394, 0.2850, 0.7150)
Sc (0.1394, 0.7150, 0.2850)
Sc (0.9278, 0.0476, 0.9524)
Sc (0.3619, 0.0336, 0.4605)
Sc (0.8619, 0.4605, 0.0336)
Sc (0.0212, 0.3860, 0.2835)
Sc (0.5212, 0.2835, 0.3860)

Run ii
Density functional theory data (PBE-GGA) for a geometry-optimized HoTm3Sc6 structure.

a = 9.1763 Å, b = 9.1763 Å, c = 6.5066 Å
α = 45.16°, β = 45.16°, γ = 60.00°
Positions (direct):
Ho (0.8938, 0.8938, 0.3186)
Tm (0.3933, 0.3933, 0.8201)
Tm (0.6398, 0.6398, 0.0805)
Tm (0.1408, 0.1408, 0.5775)
Sc (0.9089, 0.5675, 0.2840)
Sc (0.2395, 0.9089, 0.2840)
Sc (0.5675, 0.2395, 0.2840)
Sc (0.0689, 0.4088, 0.7837)
Sc (0.7386, 0.0689, 0.7837)
Sc (0.4088, 0.7386, 0.7837)

The structure with the least stability is run ii.